MgNiHg3 (PBE, optimized geometry); volume = 153 Å³/cell; crystal system = cubic; formation energy = 0.78 eV/atom; distance to the lowest polymorph of the same formula = 0.6053 eV/atom
1.0
-1.4257 4.9088 -1.5821
-3.5231 -2.1257 -3.4207
-3.7666 0.1302 3.7984
Hg Ni Mg
3 1 1
Direct
0.5000 0.0000 0.0000
0.0000 0.0000 0.5000
0.0000 0.5000 0.0000
0.5000 0.5000 0.5000
0.0000 0.0000 0.0000